1.
Density functional theory data (GGA-PBE) for an optimized crystal structure of HfBe10Tc.

a b c (Å): 3.402 4.375 7.642
angles (deg): 90.00 90.00 90.00
Sites, in units of the cell vectors:
Hf 0.000 0.000 0.000
Be 0.000 0.000 0.345
Be 0.000 0.000 0.655
Be 0.000 0.500 0.183
Be 0.000 0.500 0.817
Be 0.500 0.000 0.500
Be 0.500 0.253 0.261
Be 0.500 0.253 0.739
Be 0.500 0.500 0.000
Be 0.500 0.747 0.261
Be 0.500 0.747 0.739
Tc 0.000 0.500 0.500

Output
- DOS(E_F) (states/eV per cell) = 3.57
- total energy (eV per atom) = -4.9897

2.
Density functional theory data (GGA-PBE) for an optimized crystal structure of LiPrReN3.

a b c (Å): 6.124 6.124 8.107
angles (deg): 90.00 90.00 147.71
Sites, in units of the cell vectors:
Li 0.000 0.000 0.000
Li 0.000 0.000 0.500
Pr 0.296 0.704 0.750
Pr 0.704 0.296 0.250
Re 0.444 0.556 0.250
Re 0.556 0.444 0.750
N 0.041 0.959 0.250
N 0.358 0.642 0.066
N 0.358 0.642 0.434
N 0.642 0.358 0.566
N 0.642 0.358 0.934
N 0.959 0.041 0.750

Output
- DOS(E_F) (states/eV per cell) = 0.08
- total energy (eV per atom) = -7.8942

3.
Density functional theory data (GGA-PBE) for an optimized crystal structure of BaHgAsPb.

a b c (Å): 7.862 7.862 7.862
angles (deg): 90.00 90.00 90.00
Sites, in units of the cell vectors:
Ba 0.000 0.000 0.000
Ba 0.000 0.500 0.500
Ba 0.500 0.000 0.500
Ba 0.500 0.500 0.000
Hg 0.250 0.250 0.250
Hg 0.250 0.750 0.750
Hg 0.750 0.250 0.750
Hg 0.750 0.750 0.250
As 0.250 0.250 0.750
As 0.250 0.750 0.250
As 0.750 0.250 0.250
As 0.750 0.750 0.750
Pb 0.000 0.000 0.500
Pb 0.000 0.500 0.000
Pb 0.500 0.000 0.000
Pb 0.500 0.500 0.500

Output
- DOS(E_F) (states/eV per cell) = 9.65
- total energy (eV per atom) = -3.0565

4.
Density functional theory data (GGA-PBE) for an optimized crystal structure of Sr3SnI2Br6.

a b c (Å): 9.094 9.094 6.978
angles (deg): 93.44 93.44 59.61
Sites, in units of the cell vectors:
Sr 0.000 0.000 0.000
Sr 0.000 0.500 0.500
Sr 0.500 0.000 0.500
Sn 0.500 0.500 0.500
I 0.180 0.180 0.790
I 0.820 0.820 0.210
Br 0.177 0.670 0.734
Br 0.330 0.330 0.280
Br 0.330 0.823 0.266
Br 0.670 0.177 0.734
Br 0.670 0.670 0.720
Br 0.823 0.330 0.266

Output
- DOS(E_F) (states/eV per cell) = 0.00
- total energy (eV per atom) = -3.5024

5.
Density functional theory data (GGA-PBE) for an optimized crystal structure of CePrGdTl.

a b c (Å): 7.816 7.816 7.816
angles (deg): 90.00 90.00 90.00
Sites, in units of the cell vectors:
Ce 0.000 0.000 0.000
Ce 0.000 0.500 0.500
Ce 0.500 0.000 0.500
Ce 0.500 0.500 0.000
Pr 0.250 0.250 0.250
Pr 0.250 0.750 0.750
Pr 0.750 0.250 0.750
Pr 0.750 0.750 0.250
Gd 0.250 0.250 0.750
Gd 0.250 0.750 0.250
Gd 0.750 0.250 0.250
Gd 0.750 0.750 0.750
Tl 0.000 0.000 0.500
Tl 0.000 0.500 0.000
Tl 0.500 0.000 0.000
Tl 0.500 0.500 0.500

Output
- DOS(E_F) (states/eV per cell) = 40.84
- total energy (eV per atom) = -6.7955

6.
Density functional theory data (GGA-PBE) for an optimized crystal structure of PuTl2S3.

a b c (Å): 7.180 7.180 7.734
angles (deg): 98.72 98.72 119.28
Sites, in units of the cell vectors:
Pu 0.168 0.832 0.000
Pu 0.832 0.168 0.000
Tl 0.000 0.000 0.500
Tl 0.346 0.654 0.500
Tl 0.500 0.500 0.000
Tl 0.654 0.346 0.500
S 0.047 0.429 0.791
S 0.186 0.186 0.194
S 0.429 0.047 0.791
S 0.571 0.953 0.209
S 0.814 0.814 0.806
S 0.953 0.571 0.209

Output
- DOS(E_F) (states/eV per cell) = 15.34
- E above lowest polymorph (eV per formula unit) = 0.00
- total energy (eV per atom) = -6.1618

7.
Density functional theory data (GGA-PBE) for an optimized crystal structure of NiRuRh6.

a b c (Å): 3.808 3.808 7.634
angles (deg): 90.00 90.00 90.00
Sites, in units of the cell vectors:
Ni 0.000 0.000 0.000
Ru 0.000 0.000 0.500
Rh 0.000 0.500 0.250
Rh 0.000 0.500 0.750
Rh 0.500 0.000 0.250
Rh 0.500 0.000 0.750
Rh 0.500 0.500 0.000
Rh 0.500 0.500 0.500

Output
- DOS(E_F) (states/eV per cell) = 8.39
- total energy (eV per atom) = -7.3770

8.
Density functional theory data (GGA-PBE) for an optimized crystal structure of PmEr2Cd6.

a b c (Å): 8.648 8.648 3.419
angles (deg): 90.00 90.00 120.00
Sites, in units of the cell vectors:
Pm 0.000 0.000 0.000
Er 0.333 0.667 0.000
Er 0.667 0.333 0.000
Cd 0.000 0.336 0.500
Cd 0.000 0.664 0.500
Cd 0.336 0.000 0.500
Cd 0.336 0.336 0.500
Cd 0.664 0.000 0.500
Cd 0.664 0.664 0.500

Output
- DOS(E_F) (states/eV per cell) = 7.34
- total energy (eV per atom) = -2.4634

9.
Density functional theory data (GGA-PBE) for an optimized crystal structure of CaPmSn.

a b c (Å): 16.427 3.707 6.398
angles (deg): 90.00 90.00 90.00
Sites, in units of the cell vectors:
Ca 0.192 0.000 0.000
Ca 0.192 0.500 0.500
Ca 0.808 0.000 0.000
Ca 0.808 0.500 0.500
Pm 0.000 0.000 0.333
Pm 0.000 0.500 0.833
Pm 0.500 0.000 0.000
Pm 0.500 0.500 0.500
Sn 0.346 0.000 0.334
Sn 0.346 0.500 0.834
Sn 0.654 0.000 0.334
Sn 0.654 0.500 0.834

Output
- DOS(E_F) (states/eV per cell) = 10.99
- E above lowest polymorph (eV per formula unit) = 0.89
- total energy (eV per atom) = -3.8649

10.
Density functional theory data (GGA-PBE) for an optimized crystal structure of Rb2ScBr6F.

a b c (Å): 7.970 7.970 7.970
angles (deg): 123.95 123.95 83.28
Sites, in units of the cell vectors:
Rb 0.250 0.750 0.500
Rb 0.750 0.250 0.500
Sc 0.000 0.000 0.000
Br 0.221 0.221 0.000
Br 0.251 0.251 0.501
Br 0.251 0.749 0.000
Br 0.749 0.251 0.000
Br 0.749 0.749 0.499
Br 0.779 0.779 0.000
F 0.500 0.500 0.000

Output
- DOS(E_F) (states/eV per cell) = 7.12
- total energy (eV per atom) = -3.3293

11.
Density functional theory data (GGA-PBE) for an optimized crystal structure of AcNd2Ga.

a b c (Å): 4.438 12.824 9.323
angles (deg): 90.00 90.00 90.00
Sites, in units of the cell vectors:
Ac 0.000 0.060 0.250
Ac 0.000 0.940 0.750
Ac 0.500 0.440 0.750
Ac 0.500 0.560 0.250
Nd 0.000 0.353 0.053
Nd 0.000 0.353 0.447
Nd 0.000 0.647 0.553
Nd 0.000 0.647 0.947
Nd 0.500 0.147 0.553
Nd 0.500 0.147 0.947
Nd 0.500 0.853 0.053
Nd 0.500 0.853 0.447
Ga 0.000 0.243 0.750
Ga 0.000 0.757 0.250
Ga 0.500 0.257 0.250
Ga 0.500 0.743 0.750

Output
- DOS(E_F) (states/eV per cell) = 23.71
- E above lowest polymorph (eV per formula unit) = 0.02
- total energy (eV per atom) = -4.4015

12.
Density functional theory data (GGA-PBE) for an optimized crystal structure of LiLaTh2.

a b c (Å): 7.917 7.917 7.917
angles (deg): 90.00 90.00 90.00
Sites, in units of the cell vectors:
Li 0.000 0.000 0.000
Li 0.000 0.500 0.500
Li 0.500 0.000 0.500
Li 0.500 0.500 0.000
La 0.250 0.250 0.750
La 0.250 0.750 0.250
La 0.750 0.250 0.250
La 0.750 0.750 0.750
Th 0.000 0.000 0.500
Th 0.000 0.500 0.000
Th 0.250 0.250 0.250
Th 0.250 0.750 0.750
Th 0.500 0.000 0.000
Th 0.500 0.500 0.500
Th 0.750 0.250 0.750
Th 0.750 0.750 0.250

Output
- DOS(E_F) (states/eV per cell) = 21.63
- E above lowest polymorph (eV per formula unit) = 0.32
- total energy (eV per atom) = -5.1539

> Which of these has the highest DOS(E_F)?

CePrGdTl

Repeat the third record exactly.
Density functional theory data (GGA-PBE) for an optimized crystal structure of BaHgAsPb.

a b c (Å): 7.862 7.862 7.862
angles (deg): 90.00 90.00 90.00
Sites, in units of the cell vectors:
Ba 0.000 0.000 0.000
Ba 0.000 0.500 0.500
Ba 0.500 0.000 0.500
Ba 0.500 0.500 0.000
Hg 0.250 0.250 0.250
Hg 0.250 0.750 0.750
Hg 0.750 0.250 0.750
Hg 0.750 0.750 0.250
As 0.250 0.250 0.750
As 0.250 0.750 0.250
As 0.750 0.250 0.250
As 0.750 0.750 0.750
Pb 0.000 0.000 0.500
Pb 0.000 0.500 0.000
Pb 0.500 0.000 0.000
Pb 0.500 0.500 0.500

Output
- DOS(E_F) (states/eV per cell) = 9.65
- total energy (eV per atom) = -3.0565

> Among the records above, which one has the highest DOS(E_F)?

CePrGdTl